No. 1
5
Lattice="-0.138 1.616 4.884 -1.512 -4.586 1.475 4.908 -1.422 0.609" Properties=species:S:1:pos:R:3 comment="GGA-PBE Sb2PtWAu, relaxed" energy_ev_per_atom=-4.9870 raw_formation_energy_ev_per_atom=1.116 pbc="T T T"
Pt 1.629 -2.196 3.484
Sb -0.069 0.808 2.442
Sb 2.454 -0.711 0.305
W 0.000 0.000 0.000
Au -0.756 -2.293 0.737

---

No. 2
4
Lattice="10.525 0.001 0.001 10.127 2.868 0.001 10.127 1.407 2.499" Properties=species:S:1:pos:R:3 comment="GGA-PBE CaTaMo2, relaxed" formation_energy_ev_per_atom=0.742 polymorph_energy_mev_per_atom=314 energy_ev_per_atom=-8.1372 pbc="T T T"
Mo 30.657 4.259 2.491
Mo 15.512 2.155 1.260
Ca 23.084 3.207 1.875
Ta 7.695 1.069 0.625